Computed, not measured: crystalline Rb2RuSeF6 at its relaxed geometry at the GGA-PBE level of DFT.

```
data_Rb2RuSeF6
_cell_length_a 6.122
_cell_length_b 6.122
_cell_length_c 10.347
_cell_angle_alpha 90.00
_cell_angle_beta 90.00
_cell_angle_gamma 90.00
_space_group_name_H-M_alt 'I 4/m m m'
_space_group_IT_number 139
_space_group_name_Hall '-I 4 2'
loop_
_atom_site_label
_atom_site_type_symbol
_atom_site_fract_x
_atom_site_fract_y
_atom_site_fract_z
_atom_site_occupancy
Rb1 Rb 0.000 0.500 0.250 1
Ru1 Ru 0.000 0.000 0.000 1
Se1 Se 0.000 0.000 0.500 1
F1 F 0.000 0.000 0.191 1
F2 F 0.238 0.238 0.000 1
```

Fermi-level density of states: 2.4610 states/eV per atom
crystal system: tetragonal
ΔE_f (raw): -1752.9 meV/atom
total energy: -4.35 eV/atom
mass density: 3.98 g cm⁻³
magnetization: 0.155 μB/atom